[1]
Entry from Alexandria via LeMat-Bulk: a relaxed structure of TiTeRhSe2 (PBE-GGA). Values from VASP.

Results
**Energy relative to the elements, uncorrected**: 0.262 eV per atom
**M_tot**: 1.82 μB/f.u.
**Total energy**: -24.05 eV/cell
**SG**: P4/mmm, No. 123
**Density of states at the Fermi level**: 1.5708 states/eV per atom

The structure in Quantum ESPRESSO input format:
```
&SYSTEM
  ibrav = 0, nat = 5, ntyp = 4
/
ATOMIC_SPECIES
Ti 47.87 Ti.upf
Te 127.60 Te.upf
Rh 102.91 Rh.upf
Se 78.96 Se.upf
CELL_PARAMETERS angstrom
4.740 0.000 0.000
0.000 4.740 0.000
0.000 0.000 5.636
ATOMIC_POSITIONS crystal
Ti 0.000 0.000 0.000
Te 0.000 0.000 0.500
Rh 0.500 0.500 0.500
Se 0.000 0.500 0.000
Se 0.500 0.000 0.000
```

=====

[2]
Entry from Alexandria via LeMat-Bulk: a relaxed structure of PrAs4Pd6 (PBE-GGA). Values from VASP.

Results
**M_tot**: 0.00 μB/f.u.
**Total energy**: -60.88 eV/cell
**SG**: P-6m2, No. 187
**Calculated formation energy**: -56 kJ/mol of atoms
**Density of states at the Fermi level**: 0.6078 states/eV per atom

The structure in Quantum ESPRESSO input format:
```
&SYSTEM
  ibrav = 0, nat = 11, ntyp = 3
/
ATOMIC_SPECIES
Pr 140.91 Pr.upf
As 74.92 As.upf
Pd 106.42 Pd.upf
CELL_PARAMETERS angstrom
7.387 0.000 0.000
-3.694 6.398 0.000
0.000 0.000 4.092
ATOMIC_POSITIONS crystal
Pr 0.000 0.000 0.000
As 0.333 0.667 0.000
As 0.379 0.190 0.500
As 0.810 0.190 0.500
As 0.810 0.621 0.500
Pd 0.199 0.398 0.500
Pd 0.199 0.801 0.500
Pd 0.536 0.071 0.000
Pd 0.536 0.464 0.000
Pd 0.602 0.801 0.500
Pd 0.929 0.464 0.000
```

=====

[3]
Entry from Alexandria via LeMat-Bulk: a relaxed structure of ZnInAgIr (PBE-GGA). Values from VASP.

Results
**M_tot**: 0.00 μB/f.u.
**Total energy**: -15.84 eV/cell
**SG**: F-43m, No. 216
**Calculated formation energy**: -3 kJ/mol of atoms
**Density of states at the Fermi level**: 0.4441 states/eV per atom

The structure in Quantum ESPRESSO input format:
```
&SYSTEM
  ibrav = 0, nat = 4, ntyp = 4
/
ATOMIC_SPECIES
Zn 65.41 Zn.upf
In 114.82 In.upf
Ag 107.87 Ag.upf
Ir 192.22 Ir.upf
CELL_PARAMETERS angstrom
0.000 3.225 3.225
3.225 0.000 3.225
3.225 3.225 0.000
ATOMIC_POSITIONS crystal
Zn 0.000 0.000 0.000
In 0.500 0.500 0.500
Ag 0.750 0.750 0.750
Ir 0.250 0.250 0.250
```

=====

[4]
Entry from Alexandria via LeMat-Bulk: a relaxed structure of Er2TmPu3Se6 (PBE-GGA). Values from VASP.

Results
**Energy relative to the elements, uncorrected**: -1.638 eV per atom
**M_tot**: 5.76 μB/f.u.
**Total energy**: -97.16 eV/cell
**SG**: C2/m, No. 12
**Density of states at the Fermi level**: 2.2860 states/eV per atom

The structure in Quantum ESPRESSO input format:
```
&SYSTEM
  ibrav = 0, nat = 12, ntyp = 4
/
ATOMIC_SPECIES
Er 167.26 Er.upf
Tm 168.93 Tm.upf
Pu 244.00 Pu.upf
Se 78.96 Se.upf
CELL_PARAMETERS angstrom
8.913 -2.037 0.000
8.913 2.037 0.000
-1.870 0.000 7.971
ATOMIC_POSITIONS crystal
Er 0.166 0.166 0.336
Er 0.834 0.834 0.664
Tm 0.500 0.500 0.000
Pu 0.167 0.167 0.835
Pu 0.500 0.500 0.500
Pu 0.833 0.833 0.165
Se 0.002 0.002 0.244
Se 0.331 0.331 0.420
Se 0.336 0.336 0.911
Se 0.664 0.664 0.089
Se 0.669 0.669 0.580
Se 0.998 0.998 0.756
```